# 1
{"formula": "Nb2Pd9Pt", "functional": "PBE", "state": "optimized geometry", "n_ef_per_ev_cell": 6.08, "sg": "P4/mmm, No. 123", "formation_energy_ev_per_atom": -0.315, "cell": [[3.969, 0.000, 0.000], [0.000, 3.969, 0.000], [0.000, 0.000, 11.923]], "species": ["Nb", "Nb", "Pd", "Pd", "Pd", "Pd", "Pd", "Pd", "Pd", "Pd", "Pd", "Pt"], "frac_coords": [[0.000, 0.000, 0.325], [0.000, 0.000, 0.675], [0.500, 0.500, 0.000], [0.500, 0.500, 0.337], [0.500, 0.500, 0.663], [0.500, 0.000, 0.172], [0.500, 0.000, 0.500], [0.500, 0.000, 0.828], [0.000, 0.500, 0.172], [0.000, 0.500, 0.500], [0.000, 0.500, 0.828], [0.000, 0.000, 0.000]]}

---

# 2
{"formula": "Nb2PdPt", "functional": "PBE", "state": "optimized geometry", "n_ef_per_ev_cell": 8.60, "sg": "I-42d, No. 122", "formation_energy_ev_per_atom": 0.090, "cell": [[3.943, 0.000, 0.000], [0.000, 3.943, 0.000], [1.972, 1.972, 9.311]], "species": ["Nb", "Nb", "Nb", "Nb", "Pd", "Pd", "Pt", "Pt"], "frac_coords": [[0.629, 0.125, 0.250], [0.121, 0.625, 0.250], [0.375, 0.371, 0.750], [0.875, 0.879, 0.750], [0.500, 0.500, 0.000], [0.250, 0.750, 0.500], [0.000, 0.000, 0.000], [0.750, 0.250, 0.500]]}

---

# 3
{"formula": "Nb2Pd2Pt", "functional": "PBE", "state": "optimized geometry", "n_ef_per_ev_cell": 11.57, "sg": "P4/mbm, No. 127", "e_above_lowest_polymorph_ev_per_atom": 0.270, "formation_energy_ev_per_atom": -0.214, "cell": [[-3.481, 5.352, 4.151], [-6.609, -1.663, -3.398], [-0.565, -1.967, 2.062]], "species": ["Nb", "Nb", "Nb", "Nb", "Pd", "Pd", "Pd", "Pd", "Pt", "Pt"], "frac_coords": [[0.175, 0.675, 0.500], [0.675, 0.825, 0.500], [0.825, 0.325, 0.500], [0.325, 0.175, 0.500], [0.376, 0.876, 0.000], [0.876, 0.624, 0.000], [0.624, 0.124, 0.000], [0.124, 0.376, 0.000], [0.000, 0.000, 0.000], [0.500, 0.500, 0.000]]}

---

# 4
{"formula": "Nb2PdPt", "functional": "PBE", "state": "optimized geometry", "n_ef_per_ev_cell": 3.83, "sg": "P4/mmm, No. 123", "formation_energy_ev_per_atom": -0.485, "cell": [[4.133, 0.000, 0.000], [0.000, 3.994, 0.000], [0.000, 0.000, 3.994]], "species": ["Nb", "Nb", "Pd", "Pt"], "frac_coords": [[0.000, 0.000, 0.500], [0.000, 0.500, 0.000], [0.500, 0.000, 0.000], [0.500, 0.500, 0.500]]}

---

# 5
{"formula": "Nb2Pd8Pt", "functional": "PBE", "state": "optimized geometry", "n_ef_per_ev_cell": 9.06, "sg": "C2/m, No. 12", "e_above_lowest_polymorph_ev_per_atom": 0.105, "formation_energy_ev_per_atom": -0.276, "cell": [[-1.417, -3.739, 0.090], [5.977, -2.276, -0.439], [-0.744, 2.586, 6.880]], "species": ["Nb", "Nb", "Pd", "Pd", "Pd", "Pd", "Pd", "Pd", "Pd", "Pd", "Pt"], "frac_coords": [[0.781, 0.344, 0.562], [0.219, 0.656, 0.438], [0.404, 0.549, 0.807], [0.680, 0.909, 0.360], [0.855, 0.800, 0.710], [0.955, 0.268, 0.910], [0.145, 0.200, 0.290], [0.320, 0.091, 0.640], [0.596, 0.451, 0.193], [0.045, 0.732, 0.090], [0.500, 0.000, 0.000]]}

---

# 6
{"formula": "Nb2Pd8Pt", "functional": "PBE", "state": "optimized geometry", "n_ef_per_ev_cell": 8.08, "sg": "C2/m, No. 12", "e_above_lowest_polymorph_ev_per_atom": 0.000, "formation_energy_ev_per_atom": -0.381, "cell": [[3.813, 0.000, -1.091], [-0.273, 6.206, -0.955], [0.058, -0.793, 7.406]], "species": ["Nb", "Nb", "Pd", "Pd", "Pd", "Pd", "Pd", "Pd", "Pd", "Pd", "Pt"], "frac_coords": [[0.863, 0.816, 0.726], [0.137, 0.184, 0.274], [0.411, 0.551, 0.821], [0.681, 0.907, 0.363], [0.769, 0.364, 0.538], [0.046, 0.739, 0.092], [0.231, 0.636, 0.462], [0.319, 0.093, 0.637], [0.589, 0.449, 0.179], [0.954, 0.261, 0.908], [0.500, 0.000, 0.000]]}

---

# 7
{"formula": "Nb6Pd12Pt", "functional": "PBE", "state": "optimized geometry", "n_ef_per_ev_cell": 20.16, "sg": "R-3, No. 148", "formation_energy_ev_per_atom": -0.218, "cell": [[-5.375, -1.846, -3.782], [4.068, -0.558, -5.454], [1.172, -6.537, 1.581]], "species": ["Nb", "Nb", "Nb", "Nb", "Nb", "Nb", "Pd", "Pd", "Pd", "Pd", "Pd", "Pd", "Pd", "Pd", "Pd", "Pd", "Pd", "Pd", "Pt"], "frac_coords": [[0.722, 0.883, 0.265], [0.735, 0.278, 0.117], [0.117, 0.735, 0.278], [0.278, 0.117, 0.735], [0.265, 0.722, 0.883], [0.883, 0.265, 0.722], [0.803, 0.524, 0.430], [0.430, 0.803, 0.524], [0.524, 0.430, 0.803], [0.197, 0.476, 0.570], [0.570, 0.197, 0.476], [0.476, 0.570, 0.197], [0.041, 0.146, 0.374], [0.854, 0.626, 0.959], [0.626, 0.959, 0.854], [0.959, 0.854, 0.626], [0.146, 0.374, 0.041], [0.374, 0.041, 0.146], [0.000, 0.000, 0.000]]}

---

# 8
{"formula": "NbPd3Pt3", "functional": "PBE", "state": "optimized geometry", "n_ef_per_ev_cell": 16.92, "sg": "P6_3/m, No. 176", "e_above_lowest_polymorph_ev_per_atom": 0.305, "formation_energy_ev_per_atom": 0.092, "cell": [[2.759, 0.000, 0.000], [0.000, 10.132, 0.000], [0.000, -5.066, 8.774]], "species": ["Nb", "Nb", "Pd", "Pd", "Pd", "Pd", "Pd", "Pd", "Pt", "Pt", "Pt", "Pt", "Pt", "Pt"], "frac_coords": [[0.250, 0.667, 0.333], [0.750, 0.333, 0.667], [0.750, 0.907, 0.370], [0.750, 0.462, 0.093], [0.250, 0.370, 0.462], [0.750, 0.630, 0.538], [0.250, 0.538, 0.907], [0.250, 0.093, 0.630], [0.750, 0.812, 0.073], [0.750, 0.261, 0.188], [0.250, 0.073, 0.261], [0.750, 0.927, 0.739], [0.250, 0.739, 0.812], [0.250, 0.188, 0.927]]}

---

# 9
{"formula": "NbPd2Pt2", "functional": "PBE", "state": "optimized geometry", "n_ef_per_ev_cell": 5.18, "sg": "C2/m, No. 12", "e_above_lowest_polymorph_ev_per_atom": 0.619, "formation_energy_ev_per_atom": 0.155, "cell": [[3.417, -0.255, 1.225], [-0.183, 3.421, 1.225], [1.042, 1.020, 8.329]], "species": ["Nb", "Pd", "Pd", "Pt", "Pt"], "frac_coords": [[0.000, 0.000, 0.000], [0.685, 0.685, 0.809], [0.315, 0.315, 0.191], [0.000, 0.500, 0.500], [0.500, 0.000, 0.500]]}

---

# 10
{"formula": "Nb3Pd2Pt4", "functional": "PBE", "state": "optimized geometry", "n_ef_per_ev_cell": 9.23, "sg": "C2/c, No. 15", "formation_energy_ev_per_atom": -0.383, "cell": [[4.806, -0.147, -0.106], [0.083, 7.814, -1.323], [0.083, 1.265, 7.824]], "species": ["Nb", "Nb", "Nb", "Nb", "Nb", "Nb", "Pd", "Pd", "Pd", "Pd", "Pt", "Pt", "Pt", "Pt", "Pt", "Pt", "Pt", "Pt"], "frac_coords": [[0.998, 0.004, 0.197], [0.502, 0.803, 0.996], [0.002, 0.996, 0.803], [0.498, 0.197, 0.004], [0.250, 0.526, 0.474], [0.750, 0.474, 0.526], [0.514, 0.184, 0.330], [0.986, 0.670, 0.816], [0.486, 0.816, 0.670], [0.014, 0.330, 0.184], [0.485, 0.843, 0.316], [0.015, 0.684, 0.157], [0.515, 0.157, 0.684], [0.985, 0.316, 0.843], [0.021, 0.178, 0.505], [0.479, 0.495, 0.822], [0.979, 0.822, 0.495], [0.521, 0.505, 0.178]]}

---

# 11
{"formula": "NbPdPt6", "functional": "PBE", "state": "optimized geometry", "n_ef_per_ev_cell": 8.94, "sg": "R-3m, No. 166", "e_above_lowest_polymorph_ev_per_atom": 0.546, "formation_energy_ev_per_atom": 0.180, "cell": [[-4.398, 1.944, 2.264], [-3.204, -3.828, -1.822], [0.337, -3.018, 4.361]], "species": ["Nb", "Pd", "Pt", "Pt", "Pt", "Pt", "Pt", "Pt"], "frac_coords": [[0.000, 0.000, 0.000], [0.500, 0.500, 0.500], [0.163, 0.539, 0.163], [0.163, 0.163, 0.539], [0.837, 0.461, 0.837], [0.461, 0.837, 0.837], [0.837, 0.837, 0.461], [0.539, 0.163, 0.163]]}

---

# 12
{"formula": "NbPd3Pt2", "functional": "PBE", "state": "optimized geometry", "n_ef_per_ev_cell": 24.81, "sg": "Pnma, No. 62", "e_above_lowest_polymorph_ev_per_atom": 0.051, "formation_energy_ev_per_atom": -0.260, "cell": [[-1.009, -2.492, -0.782], [7.650, -3.785, 2.197], [-5.338, -2.384, 14.477]], "species": ["Nb", "Nb", "Nb", "Nb", "Pd", "Pd", "Pd", "Pd", "Pd", "Pd", "Pd", "Pd", "Pd", "Pd", "Pd", "Pd", "Pt", "Pt", "Pt", "Pt", "Pt", "Pt", "Pt", "Pt"], "frac_coords": [[0.250, 0.293, 0.662], [0.750, 0.707, 0.338], [0.750, 0.207, 0.162], [0.250, 0.793, 0.838], [0.250, 0.253, 0.826], [0.750, 0.747, 0.174], [0.750, 0.247, 0.326], [0.250, 0.753, 0.674], [0.750, 0.033, 0.918], [0.250, 0.967, 0.082], [0.250, 0.467, 0.418], [0.750, 0.533, 0.582], [0.250, 0.013, 0.581], [0.750, 0.987, 0.419], [0.750, 0.487, 0.081], [0.250, 0.513, 0.919], [0.250, 0.250, 0.014], [0.750, 0.750, 0.986], [0.750, 0.250, 0.514], [0.250, 0.750, 0.486], [0.750, 0.017, 0.737], [0.250, 0.983, 0.263], [0.250, 0.483, 0.237], [0.750, 0.517, 0.763]]}

---

# 13
{"formula": "Nb2Pd2Pt3", "functional": "PBE", "state": "optimized geometry", "n_ef_per_ev_cell": 12.23, "sg": "I2_13, No. 199", "formation_energy_ev_per_atom": -0.131, "cell": [[6.435, 0.000, -2.275], [-3.218, 5.573, -2.275], [0.000, 0.000, 6.825]], "species": ["Nb", "Nb", "Nb", "Nb", "Pd", "Pd", "Pd", "Pd", "Pt", "Pt", "Pt", "Pt", "Pt", "Pt"], "frac_coords": [[0.000, 0.000, 0.379], [0.500, 0.379, 0.500], [0.621, 0.121, 0.121], [0.879, 0.500, 0.000], [0.000, 0.000, 0.811], [0.500, 0.811, 0.500], [0.189, 0.689, 0.689], [0.311, 0.500, 0.000], [0.660, 0.750, 0.910], [0.840, 0.250, 0.590], [0.090, 0.340, 0.250], [0.410, 0.160, 0.750], [0.250, 0.910, 0.160], [0.750, 0.590, 0.340]]}

---

# 14
{"formula": "NbPd3Pt", "functional": "PBE", "state": "optimized geometry", "n_ef_per_ev_cell": 6.59, "sg": "Ima2, No. 46", "e_above_lowest_polymorph_ev_per_atom": 0.436, "formation_energy_ev_per_atom": 0.037, "cell": [[6.432, -0.553, 0.245], [-3.638, 5.332, -0.245], [-2.765, -1.590, 5.617]], "species": ["Nb", "Nb", "Pd", "Pd", "Pd", "Pd", "Pd", "Pd", "Pt", "Pt"], "frac_coords": [[0.604, 0.789, 0.315], [0.474, 0.289, 0.685], [0.099, 0.265, 0.760], [0.099, 0.839, 0.334], [0.505, 0.765, 0.666], [0.077, 0.259, 0.318], [0.505, 0.339, 0.240], [0.942, 0.759, 0.682], [0.504, 0.006, 0.998], [0.007, 0.506, 0.002]]}

---

# 15
{"formula": "Nb2Pd5Pt", "functional": "PBE", "state": "optimized geometry", "n_ef_per_ev_cell": 16.32, "sg": "Pbam, No. 55", "formation_energy_ev_per_atom": -0.341, "cell": [[-2.526, 3.048, 0.408], [-1.867, -2.196, 4.851], [7.883, 5.777, 5.651]], "species": ["Nb", "Nb", "Nb", "Nb", "Pd", "Pd", "Pd", "Pd", "Pd", "Pd", "Pd", "Pd", "Pd", "Pd", "Pt", "Pt"], "frac_coords": [[0.500, 0.243, 0.624], [0.500, 0.757, 0.376], [0.500, 0.257, 0.124], [0.500, 0.743, 0.876], [0.000, 0.000, 0.000], [0.000, 0.500, 0.500], [0.000, 0.495, 0.751], [0.000, 0.505, 0.249], [0.000, 0.005, 0.251], [0.000, 0.995, 0.749], [0.500, 0.244, 0.874], [0.500, 0.756, 0.126], [0.500, 0.256, 0.374], [0.500, 0.744, 0.626], [0.000, 0.000, 0.500], [0.000, 0.500, 0.000]]}

---

# 16
{"formula": "Nb2Pd2Pt", "functional": "PBE", "state": "optimized geometry", "n_ef_per_ev_cell": 4.49, "sg": "C2/m, No. 12", "e_above_lowest_polymorph_ev_per_atom": 0.108, "formation_energy_ev_per_atom": -0.376, "cell": [[3.921, 0.000, 0.000], [1.961, 4.550, -0.135], [1.961, 0.144, 4.591]], "species": ["Nb", "Nb", "Pd", "Pd", "Pt"], "frac_coords": [[0.591, 0.623, 0.196], [0.409, 0.377, 0.804], [0.199, 0.206, 0.397], [0.801, 0.794, 0.603], [0.000, 0.000, 0.000]]}

---

# 17
{"formula": "NbPd2Pt5", "functional": "PBE", "state": "optimized geometry", "n_ef_per_ev_cell": 10.43, "sg": "I4/mmm, No. 139", "e_above_lowest_polymorph_ev_per_atom": 0.000, "formation_energy_ev_per_atom": -0.392, "cell": [[-1.699, -1.505, -3.303], [-1.068, -3.278, 2.043], [-5.431, 5.822, 2.572]], "species": ["Nb", "Pd", "Pd", "Pt", "Pt", "Pt", "Pt", "Pt"], "frac_coords": [[0.000, 0.000, 0.000], [0.253, 0.253, 0.506], [0.747, 0.747, 0.494], [0.500, 0.500, 0.000], [0.622, 0.122, 0.243], [0.122, 0.622, 0.243], [0.378, 0.878, 0.757], [0.878, 0.378, 0.757]]}

---

# 18
{"formula": "NbPd2Pt", "functional": "PBE", "state": "optimized geometry", "n_ef_per_ev_cell": 8.82, "sg": "Fm-3m, No. 225", "formation_energy_ev_per_atom": -0.262, "cell": [[4.213, 1.106, 1.106], [0.757, 2.880, 3.365], [1.769, -1.470, 3.861]], "species": ["Nb", "Pd", "Pd", "Pt"], "frac_coords": [[0.000, 0.000, 0.000], [0.250, 0.250, 0.250], [0.750, 0.750, 0.750], [0.500, 0.500, 0.500]]}

---

# 19
{"formula": "NbPd8Pt6", "functional": "PBE", "state": "optimized geometry", "n_ef_per_ev_cell": 24.69, "sg": "R-3, No. 148", "formation_energy_ev_per_atom": 0.037, "cell": [[-7.179, -1.106, 1.592], [-2.834, -6.873, -0.186], [-2.091, -3.314, 5.638]], "species": ["Nb", "Pd", "Pd", "Pd", "Pd", "Pd", "Pd", "Pd", "Pd", "Pt", "Pt", "Pt", "Pt", "Pt", "Pt"], "frac_coords": [[0.000, 0.000, 0.000], [0.585, 0.167, 0.385], [0.833, 0.137, 0.615], [0.137, 0.415, 0.615], [0.748, 0.748, 0.756], [0.252, 0.252, 0.244], [0.863, 0.585, 0.385], [0.167, 0.863, 0.385], [0.415, 0.833, 0.615], [0.370, 0.073, 0.883], [0.927, 0.326, 0.117], [0.326, 0.630, 0.117], [0.674, 0.370, 0.883], [0.073, 0.674, 0.883], [0.630, 0.927, 0.117]]}

---

no.,mass density (g cm⁻³)
1,11.8
2,11.2
3,11.7
4,12.3
5,11.7
6,11.9
7,10.6
8,13.5
9,13.2
10,14.0
11,15.3
12,13.8
13,13.3
14,11.0
15,12.0
16,12.0
17,16.8
18,13.0
19,13.7